MnSe2Br: optimized geometry, GGA-PBE.

Unit cell a=3.796 b=5.043 c=6.286 alpha=54.21 beta=90.00 gamma=90.00
Site moments in Bohr magnetons follow the coordinates.
Element x y z (fractional)
Br 0.500 0.250 0.250  0.07
Mn 0.500 0.750 0.750  3.83
Se 0.000 0.961 0.895  -0.08
Se 0.000 0.539 0.605  -0.08

Relative energy among the computed polymorphs   0.0000 eV/atom
Space-group type   P2/m (10)
Formation energy (no corrections)   -0.361 eV/atom
Electronic total energy   -19.26 eV per cell
Density of states at the Fermi level   1.148 states/eV/f.u.
Density   4.98 g/cm3